Density functional theory data (PBE) for a geometry-optimized InAg3Ir structure.

Distance to the lowest polymorph of the same formula = 0 meV per atom
SG = No. 221
Spin magnetization = 0.00 μB per formula unit
ΔE_f = 4.767 eV/f.u.

a = 5.1002 Å, b = 5.1002 Å, c = 5.1002 Å
α = 90.00°, β = 90.00°, γ = 90.00°
Last column: nearest neighbours and their distance in Å.
Positions (direct):
In  0.0000  0.0000  0.0000  12 Ag 3.61
Ag  0.0000  0.5000  0.5000  2 Ir 2.55
Ag  0.5000  0.0000  0.5000  2 Ir 2.55
Ag  0.5000  0.5000  0.0000  2 Ir 2.55
Ir  0.5000  0.5000  0.5000  6 Ag 2.55

=====

Density functional theory data (PBE) for a geometry-optimized Ag3TeBr structure.

Distance to the lowest polymorph of the same formula = 530 meV per atom
SG = No. 221
Spin magnetization = 0.00 μB per formula unit
Formation energy from raw total energies = 184 kJ/mol of formula units

a = 5.2015 Å, b = 5.2015 Å, c = 5.2015 Å
α = 90.00°, β = 90.00°, γ = 90.00°
Last column: nearest neighbours and their distance in Å.
Positions (direct):
Ag  0.0000  0.0000  0.5000  2 Br 2.60
Ag  0.0000  0.5000  0.0000  2 Br 2.60
Ag  0.5000  0.0000  0.0000  2 Br 2.60
Te  0.5000  0.5000  0.5000  12 Ag 3.68
Br  0.0000  0.0000  0.0000  6 Ag 2.60

=====

Density functional theory data (PBE) for a geometry-optimized TeH3Ru structure.

Distance to the lowest polymorph of the same formula = 0 meV per atom
SG = No. 221
Spin magnetization = 0.00 μB per formula unit

a = 3.6648 Å, b = 3.6648 Å, c = 3.6648 Å
α = 90.00°, β = 90.00°, γ = 90.00°
Last column: nearest neighbours and their distance in Å.
Positions (direct):
Te  0.0000  0.0000  0.0000  12 H 2.59
H  0.0000  0.5000  0.5000  2 Ru 1.83
H  0.5000  0.0000  0.5000  2 Ru 1.83
H  0.5000  0.5000  0.0000  2 Ru 1.83
Ru  0.5000  0.5000  0.5000  6 H 1.83

=====

Density functional theory data (PBE) for a geometry-optimized RbAl3Pb structure.

Distance to the lowest polymorph of the same formula = 788 meV per atom
SG = No. 221
Spin magnetization = 0.00 μB per formula unit
ΔE_f = 7.487 eV/f.u.

a = 5.7653 Å, b = 5.7653 Å, c = 5.7653 Å
α = 90.00°, β = 90.00°, γ = 90.00°
Last column: nearest neighbours and their distance in Å.
Positions (direct):
Rb  0.0000  0.0000  0.0000  6 Al 2.88
Al  0.0000  0.0000  0.5000  2 Rb 2.88
Al  0.0000  0.5000  0.0000  2 Rb 2.88
Al  0.5000  0.0000  0.0000  2 Rb 2.88
Pb  0.5000  0.5000  0.5000  12 Al 4.08

=====

Density functional theory data (PBE) for a geometry-optimized NbPdC2 structure.

Distance to the lowest polymorph of the same formula = 0 meV per atom
SG = No. 122
Spin magnetization = 0.00 μB per formula unit
ΔE_f = 2.723 eV/f.u.

a = 5.8970 Å, b = 5.8970 Å, c = 5.8970 Å
α = 132.22°, β = 132.22°, γ = 69.89°
Last column: nearest neighbours and their distance in Å.
Positions (direct):
Nb  0.0000  0.0000  0.0000  4 C 2.08
Nb  0.7500  0.2500  0.5000  4 C 2.08
Pd  0.2500  0.7500  0.5000  4 C 2.07
Pd  0.5000  0.5000  0.0000  4 C 2.07
C  0.1259  0.6250  0.0009  2 Pd 2.07, 2 Nb 2.08
C  0.3750  0.3759  0.5009  2 Pd 2.07, 2 Nb 2.08
C  0.6241  0.1250  0.9991  2 Pd 2.07, 2 Nb 2.08
C  0.8750  0.8741  0.4991  2 Pd 2.07, 2 Nb 2.08

=====

Density functional theory data (PBE) for a geometry-optimized AcB2C2 structure.

Distance to the lowest polymorph of the same formula = 0 meV per atom
SG = No. 140
Spin magnetization = 0.00 μB per formula unit
ΔE_f = -1.721 eV/f.u.

a = 5.7120 Å, b = 5.7120 Å, c = 5.7120 Å
α = 123.18°, β = 123.18°, γ = 84.58°
Last column: nearest neighbours and their distance in Å.
Positions (direct):
Ac  0.2500  0.2500  0.0000  8 C 2.94, 8 B 2.98
Ac  0.7500  0.7500  0.0000  8 C 2.94, 8 B 2.98
B  0.1386  0.6386  0.7772  3 C 1.55-1.63
B  0.3614  0.1386  0.5000  3 C 1.55-1.63
B  0.6386  0.8614  0.5000  3 C 1.55-1.63
B  0.8614  0.3614  0.2228  3 C 1.55-1.63
C  0.1601  0.3399  0.5000  3 B 1.55-1.63
C  0.3399  0.8399  0.1797  3 B 1.55-1.63
C  0.6601  0.1601  0.8203  3 B 1.55-1.63
C  0.8399  0.6601  0.5000  3 B 1.55-1.63